Record 1
# Sr2MgTl3Cd4 PBE optimized geometry
data_Sr2MgTl3Cd4
_cell_length_a 4.7636
_cell_length_b 4.7636
_cell_length_c 12.8414
_cell_angle_alpha 90.00
_cell_angle_beta 90.00
_cell_angle_gamma 90.00
_space_group_name_H-M_alt 'P -4 m 2'
_space_group_IT_number 115
loop_
_space_group_symop_operation_xyz
'x,y,z'
'y,-x,-z'
'-x,-y,z'
'-y,x,-z'
'-x,y,z'
'-y,-x,-z'
'x,-y,z'
'y,x,-z'
loop_
_atom_site_label
_atom_site_type_symbol
_atom_site_fract_x
_atom_site_fract_y
_atom_site_fract_z
_atom_site_occupancy
Sr1 Sr 0.0000 0.5000 0.2449 1
Mg1 Mg 0.0000 0.0000 0.5000 1
Tl1 Tl 0.0000 0.5000 0.8598 1
Tl2 Tl 0.5000 0.5000 0.5000 1
Cd1 Cd 0.0000 0.0000 0.0000 1
Cd2 Cd 0.0000 0.5000 0.6359 1
Cd3 Cd 0.5000 0.5000 0.0000 1
# raw total energy: -17.7 eV per cell
# formation energy from the elements: -1.94 eV/f.u.
# mass density: 7.19 g/cm³
# magnetic moment: 0.0000 μB/atom

=====

Record 2
# AlZnRe4 PBE optimized geometry
data_AlZnRe4
_cell_length_a 7.3314
_cell_length_b 7.3314
_cell_length_c 7.3314
_cell_angle_alpha 90.00
_cell_angle_beta 90.00
_cell_angle_gamma 90.00
_space_group_name_H-M_alt 'F -4 3 m'
_space_group_IT_number 216
_space_group_name_Hall 'F -4 2 3'
loop_
_atom_site_label
_atom_site_type_symbol
_atom_site_fract_x
_atom_site_fract_y
_atom_site_fract_z
_atom_site_occupancy
Al1 Al 0.0000 0.0000 0.0000 1
Zn1 Zn 0.2500 0.2500 0.7500 1
Re1 Re 0.1249 0.1249 0.3751 1
# raw total energy: -208.6 eV per cell
# formation energy from the elements: 2.65 eV/f.u.
# mass density: 14.11 g/cm³
# magnetic moment: 0.0000 μB/atom

=====

Record 3
# RbCuN3 PBE optimized geometry
data_RbCuN3
_cell_length_a 4.2715
_cell_length_b 4.2715
_cell_length_c 4.2715
_cell_angle_alpha 90.00
_cell_angle_beta 90.00
_cell_angle_gamma 90.00
_space_group_name_H-M_alt 'P m -3 m'
_space_group_IT_number 221
_space_group_name_Hall '-P 4 2 3'
loop_
_atom_site_label
_atom_site_type_symbol
_atom_site_fract_x
_atom_site_fract_y
_atom_site_fract_z
_atom_site_occupancy
Rb1 Rb 0.0000 0.0000 0.0000 1
Cu1 Cu 0.5000 0.5000 0.5000 1
N1 N 0.0000 0.0000 0.5000 1
# raw total energy: -11.5 eV per cell
# mass density: 4.07 g/cm³
# magnetic moment: 0.0000 μB/atom

=====

Record 4
# Pm3Zn3Ga2 PBE optimized geometry
data_Pm3Zn3Ga2
_cell_length_a 4.4933
_cell_length_b 10.6894
_cell_length_c 14.9333
_cell_angle_alpha 90.00
_cell_angle_beta 90.00
_cell_angle_gamma 90.00
_space_group_name_H-M_alt 'C m c m'
_space_group_IT_number 63
_space_group_name_Hall '-C 2c 2'
loop_
_atom_site_label
_atom_site_type_symbol
_atom_site_fract_x
_atom_site_fract_y
_atom_site_fract_z
_atom_site_occupancy
Pm1 Pm 0.0000 0.0991 0.1060 1
Pm2 Pm 0.0000 0.3818 0.2500 1
Zn1 Zn 0.0000 0.3292 0.7500 1
Zn2 Zn 0.0000 0.3858 0.0354 1
Ga1 Ga 0.0000 0.1983 0.6019 1
# raw total energy: -111.7 eV per cell
# formation energy from the elements: -3.79 eV/f.u.
# mass density: 7.14 g/cm³
# magnetic moment: 0.0000 μB/atom

=====

Record 5
# LiMgMn2Mo PBE optimized geometry
data_LiMgMn2Mo
_cell_length_a 4.3836
_cell_length_b 4.3836
_cell_length_c 4.3584
_cell_angle_alpha 90.00
_cell_angle_beta 90.00
_cell_angle_gamma 90.00
_space_group_name_H-M_alt 'P 4/m m m'
_space_group_IT_number 123
_space_group_name_Hall '-P 4 2'
loop_
_atom_site_label
_atom_site_type_symbol
_atom_site_fract_x
_atom_site_fract_y
_atom_site_fract_z
_atom_site_occupancy
Li1 Li 0.0000 0.0000 0.0000 1
Mg1 Mg 0.5000 0.5000 0.5000 1
Mn1 Mn 0.0000 0.5000 0.0000 1
Mo1 Mo 0.0000 0.0000 0.5000 1
# raw total energy: -27.1 eV per cell
# formation energy from the elements: 5.56 eV/f.u.
# mass density: 4.70 g/cm³
# magnetic moment: 1.1340 μB/atom

=====

Record 6
# SrZr2Tc2 PBE optimized geometry
data_SrZr2Tc2
_cell_length_a 8.1379
_cell_length_b 8.1379
_cell_length_c 3.2629
_cell_angle_alpha 90.00
_cell_angle_beta 90.00
_cell_angle_gamma 90.00
_space_group_name_H-M_alt 'P 4/m b m'
_space_group_IT_number 127
_space_group_name_Hall '-P 4 2ab'
loop_
_atom_site_label
_atom_site_type_symbol
_atom_site_fract_x
_atom_site_fract_y
_atom_site_fract_z
_atom_site_occupancy
Sr1 Sr 0.0000 0.0000 0.0000 1
Zr1 Zr 0.1403 0.3597 0.5000 1
Tc1 Tc 0.1408 0.6408 0.0000 1
# raw total energy: -77.3 eV per cell
# formation energy from the elements: 0.85 eV/f.u.
# mass density: 7.16 g/cm³
# magnetic moment: 0.0000 μB/atom